No. 1
NbAuI2N | meta-GGA SCAN | PBEsol geometry

Results
- crystal system = tetragonal
- VASP energy (eV per cell) = -183.52

a b c (Å): 5.563 5.563 3.876
angles (deg): 90.00 90.00 90.00
Atoms (fractional coordinates):
Nb 0.000 0.000 0.000
Au 0.500 0.500 0.500
I 0.000 0.500 0.000
I 0.500 0.000 0.000
N 0.000 0.000 0.500



No. 2
BaZnCO3F2 | meta-GGA SCAN | PBEsol geometry

Results
- crystal system = hexagonal
- VASP energy (eV per cell) = -218.59

a b c (Å): 4.846 4.846 9.771
angles (deg): 90.00 90.00 120.00
Atoms (fractional coordinates):
Ba 0.000 0.000 0.000
Ba 0.000 0.000 0.500
Zn 0.333 0.667 0.250
Zn 0.667 0.333 0.750
C 0.333 0.667 0.750
C 0.667 0.333 0.250
O 0.102 0.726 0.750
O 0.274 0.375 0.750
O 0.375 0.102 0.250
O 0.625 0.898 0.750
O 0.726 0.625 0.250
O 0.898 0.274 0.250
F 0.333 0.667 0.044
F 0.333 0.667 0.456
F 0.667 0.333 0.544
F 0.667 0.333 0.956



No. 3
Zn2BiPO6 | meta-GGA SCAN | PBEsol geometry

Results
- crystal system = orthorhombic
- VASP energy (eV per cell) = -688.45

a b c (Å): 11.890 5.277 7.821
angles (deg): 90.00 90.00 90.00
Atoms (fractional coordinates):
Zn 0.091 0.250 0.202
Zn 0.103 0.250 0.806
Zn 0.397 0.750 0.306
Zn 0.409 0.750 0.702
Zn 0.591 0.250 0.298
Zn 0.603 0.250 0.694
Zn 0.897 0.750 0.194
Zn 0.909 0.750 0.798
Bi 0.101 0.750 0.485
Bi 0.399 0.250 0.985
Bi 0.601 0.750 0.015
Bi 0.899 0.250 0.515
P 0.199 0.750 0.030
P 0.301 0.250 0.530
P 0.699 0.750 0.470
P 0.801 0.250 0.970
O 0.007 0.003 0.674
O 0.007 0.497 0.674
O 0.127 0.505 0.007
O 0.127 0.995 0.007
O 0.203 0.250 0.402
O 0.242 0.750 0.216
O 0.258 0.250 0.716
O 0.297 0.750 0.902
O 0.373 0.005 0.507
O 0.373 0.495 0.507
O 0.493 0.503 0.174
O 0.493 0.997 0.174
O 0.507 0.003 0.826
O 0.507 0.497 0.826
O 0.627 0.505 0.493
O 0.627 0.995 0.493
O 0.703 0.250 0.098
O 0.742 0.750 0.284
O 0.758 0.250 0.784
O 0.797 0.750 0.598
O 0.873 0.005 0.993
O 0.873 0.495 0.993
O 0.993 0.503 0.326
O 0.993 0.997 0.326



Which of these has the lowest VASP energy? Zn2BiPO6



VASP energy of number 2 (BaZnCO3F2)? -218.59 eV per cell



Which of these has the lowest VASP energy? Zn2BiPO6